First-principles (PBE) data for LiTb3Ge3 after structural relaxation, as listed in Alexandria.

a = 5.8372 Å, b = 5.8372 Å, c = 13.9930 Å
α = 108.72°, β = 108.72°, γ = 43.34°
Last column: nearest neighbours and their distance in Å.
Sites, in units of the cell vectors:
Li: 0.2428 0.2428 0.4064  4 Ge 2.54-2.73
Li: 0.7572 0.7572 0.5936  4 Ge 2.54-2.73
Tb: 0.2541 0.2541 0.7771  6 Ge 2.96-3.17
Tb: 0.4000 0.4000 0.0779  7 Ge 3.00-3.24
Tb: 0.4686 0.4686 0.6199  6 Ge 3.01-3.12, 4 Li 3.08-3.28
Tb: 0.5314 0.5314 0.3801  6 Ge 3.01-3.12, 4 Li 3.08-3.28
Tb: 0.6000 0.6000 0.9221  7 Ge 3.00-3.24
Tb: 0.7459 0.7459 0.2229  6 Ge 2.96-3.17
Ge: 0.0357 0.0357 0.2317  1 Ge 2.65, 1 Li 2.69
Ge: 0.1225 0.1225 0.0763  2 Ge 2.65-2.78, 2 Tb 2.96
Ge: 0.1262 0.1262 0.5513  3 Li 2.54-2.73, 1 Ge 2.62
Ge: 0.8738 0.8738 0.4487  3 Li 2.54-2.73, 1 Ge 2.62
Ge: 0.8775 0.8775 0.9237  2 Ge 2.65-2.78, 2 Tb 2.96
Ge: 0.9643 0.9643 0.7683  1 Ge 2.65, 1 Li 2.69

theoretical density	7588	kg/m3
E	-5.01	eV/atom
formation energy	-5.4	eV per formula unit
total moment	0.0	μB per formula unit

First-principles (PBE) data for TeIr2Ru after structural relaxation, as listed in Alexandria.

a = 2.9347 Å, b = 3.8599 Å, c = 5.7984 Å
α = 90.00°, β = 90.00°, γ = 90.00°
Last column: nearest neighbours and their distance in Å.
Sites, in units of the cell vectors:
Te: 0.0000 0.0000 0.0000  2 Ru 2.90, 8 Ir 2.90, 2 Te 2.93
Ir: 0.5000 0.5000 0.2752  1 Ir 2.61, 4 Ru 2.75, 4 Te 2.90
Ir: 0.5000 0.5000 0.7248  1 Ir 2.61, 4 Ru 2.75, 4 Te 2.90
Ru: 0.0000 0.0000 0.5000  8 Ir 2.75, 2 Te 2.90, 2 Ru 2.93

theoretical density	15500	kg/m3
E	-7.13	eV/atom
ΔE_f (raw)	0.407	eV per atom
total moment	0.0	μB per formula unit

First-principles (PBE) data for Dy3ErNi2 after structural relaxation, as listed in Alexandria.

a = 8.2501 Å, b = 8.2501 Å, c = 11.3087 Å
α = 122.26°, β = 122.26°, γ = 27.09°
Last column: nearest neighbours and their distance in Å.
Sites, in units of the cell vectors:
Dy: 0.0823 0.0823 0.4396  3 Ni 2.78-2.93
Dy: 0.0817 0.0817 0.9411  3 Ni 2.79-2.95
Dy: 0.3454 0.3454 0.2538  4 Ni 2.78-3.07
Dy: 0.6546 0.6546 0.7462  4 Ni 2.78-3.07
Dy: 0.9183 0.9183 0.0589  3 Ni 2.79-2.95
Dy: 0.9177 0.9177 0.5604  3 Ni 2.78-2.93
Er: 0.3447 0.3447 0.7531  4 Ni 2.78-3.06
Er: 0.6553 0.6553 0.2469  4 Ni 2.78-3.06
Ni: 0.2684 0.2684 0.4493  2 Ni 2.48
Ni: 0.2687 0.2687 0.9490  2 Ni 2.49, 2 Dy 2.78
Ni: 0.7313 0.7313 0.0510  2 Ni 2.49, 2 Dy 2.78
Ni: 0.7316 0.7316 0.5507  2 Ni 2.48

theoretical density	8753	kg/m3
E	-5.29	eV/atom
formation energy	-1.8	eV per formula unit
total moment	0.0	μB per formula unit

First-principles (PBE) data for H3SeI after structural relaxation, as listed in Alexandria.

a = 3.9631 Å, b = 3.9631 Å, c = 3.9631 Å
α = 90.00°, β = 90.00°, γ = 90.00°
Last column: nearest neighbours and their distance in Å.
Sites, in units of the cell vectors:
H: 0.0000 0.0000 0.5000  2 Se 1.98
H: 0.0000 0.5000 0.0000  2 Se 1.98
H: 0.5000 0.0000 0.0000  2 Se 1.98
Se: 0.0000 0.0000 0.0000  6 H 1.98
I: 0.5000 0.5000 0.5000  12 H 2.80

theoretical density	5573	kg/m3
E	-2.35	eV/atom
total moment	0.0	μB per formula unit
offset from the most stable computed form	0.710	eV/atom

First-principles (PBE) data for Ba2MgCd4Au3 after structural relaxation, as listed in Alexandria.

a = 4.5532 Å, b = 4.5532 Å, c = 13.0582 Å
α = 90.00°, β = 90.00°, γ = 90.00°
Last column: nearest neighbours and their distance in Å.
Sites, in units of the cell vectors:
Ba: 0.0000 0.5000 0.2393  4 Au 3.46, 8 Cd 3.60-3.87
Ba: 0.5000 0.0000 0.7607  4 Au 3.46, 8 Cd 3.60-3.87
Mg: 0.0000 0.0000 0.5000  4 Cd 2.90, 4 Au 3.22
Cd: 0.0000 0.0000 0.0000  4 Au 2.93, 4 Cd 3.22
Cd: 0.0000 0.5000 0.6378  3 Au 2.88-2.90, 2 Mg 2.90
Cd: 0.5000 0.0000 0.3622  3 Au 2.88-2.90, 2 Mg 2.90
Cd: 0.5000 0.5000 0.0000  4 Au 2.93, 4 Cd 3.22
Au: 0.0000 0.5000 0.8587  5 Cd 2.88-2.93
Au: 0.5000 0.0000 0.1413  5 Cd 2.88-2.93
Au: 0.5000 0.5000 0.5000  4 Cd 2.90, 4 Mg 3.22

theoretical density	8216	kg/m3
E	-2.33	eV/atom
formation energy	-4.3	eV per formula unit
total moment	0.0	μB per formula unit

First-principles (PBE) data for Rh4AuCl after structural relaxation, as listed in Alexandria.

a = 5.2266 Å, b = 5.2266 Å, c = 5.2266 Å
α = 60.00°, β = 60.00°, γ = 60.00°
Last column: nearest neighbours and their distance in Å.
Sites, in units of the cell vectors:
Rh: 0.1246 0.1246 0.1246  6 Rh 2.61-2.62
Rh: 0.1246 0.1246 0.6261  6 Rh 2.61-2.62
Rh: 0.1246 0.6261 0.1246  6 Rh 2.61-2.62
Rh: 0.6261 0.1246 0.1246  6 Rh 2.61-2.62
Au: 0.5000 0.5000 0.5000  12 Rh 3.07, 4 Cl 3.20
Cl: 0.7500 0.7500 0.7500  12 Rh 3.06, 4 Au 3.20

theoretical density	10593	kg/m3
E	-5.04	eV/atom
ΔE_f (raw)	0.719	eV per atom
total moment	3.2	μB per formula unit

First-principles (PBE) data for SrCd2CoC after structural relaxation, as listed in Alexandria.

a = 4.4869 Å, b = 4.4869 Å, c = 5.3879 Å
α = 90.00°, β = 90.00°, γ = 90.00°
Last column: nearest neighbours and their distance in Å.
Sites, in units of the cell vectors:
Sr: 0.0000 0.0000 0.0000  2 C 2.69
Cd: 0.0000 0.5000 0.5000  2 C 2.24
Cd: 0.5000 0.0000 0.5000  2 C 2.24
Co: 0.5000 0.5000 0.0000  4 Sr 3.17, 8 Cd 3.51
C: 0.0000 0.0000 0.5000  4 Cd 2.24

theoretical density	5869	kg/m3
E	-3.09	eV/atom
formation energy	4.4	eV per formula unit
total moment	1.2	μB per formula unit

First-principles (PBE) data for Pt2CF after structural relaxation, as listed in Alexandria.

a = 5.4905 Å, b = 5.4905 Å, c = 5.4905 Å
α = 119.38°, β = 119.38°, γ = 91.08°
Last column: nearest neighbours and their distance in Å.
Sites, in units of the cell vectors:
Pt: 0.0522 0.6250 0.9272  2 C 1.95
Pt: 0.3750 0.3022 0.4272  2 C 1.95
Pt: 0.6978 0.1250 0.0728  2 C 1.95
Pt: 0.8750 0.9478 0.5728  2 C 1.95
C: 0.0000 0.0000 0.0000  4 Pt 1.95
C: 0.7500 0.2500 0.5000  4 Pt 1.95
F: 0.2500 0.7500 0.5000  4 Pt 2.46
F: 0.5000 0.5000 0.0000  4 Pt 2.46

theoretical density	11842	kg/m3
E	-5.63	eV/atom
ΔE_f (raw)	0.169	eV per atom
total moment	0.0	μB per formula unit
offset from the most stable computed form	0.000	eV/atom

Look up the E of the seventh one. -3.09 eV/atom

What did the eighth record say?
First-principles (PBE) data for Pt2CF after structural relaxation, as listed in Alexandria.

a = 5.4905 Å, b = 5.4905 Å, c = 5.4905 Å
α = 119.38°, β = 119.38°, γ = 91.08°
Last column: nearest neighbours and their distance in Å.
Sites, in units of the cell vectors:
Pt: 0.0522 0.6250 0.9272  2 C 1.95
Pt: 0.3750 0.3022 0.4272  2 C 1.95
Pt: 0.6978 0.1250 0.0728  2 C 1.95
Pt: 0.8750 0.9478 0.5728  2 C 1.95
C: 0.0000 0.0000 0.0000  4 Pt 1.95
C: 0.7500 0.2500 0.5000  4 Pt 1.95
F: 0.2500 0.7500 0.5000  4 Pt 2.46
F: 0.5000 0.5000 0.0000  4 Pt 2.46

theoretical density	11842	kg/m3
E	-5.63	eV/atom
ΔE_f (raw)	0.169	eV per atom
total moment	0.0	μB per formula unit
offset from the most stable computed form	0.000	eV/atom